Crystalline Ho8P3Se4N at its relaxed geometry. Source: the Alexandria database, functional PBE.

- Crystal system: trigonal
- E_tot: -6.413 eV/atom

abc: 7.8474 8.0186 7.8474
angles: 119.30 120.00 90.00
Atoms (fractional coordinates):
Ho  0.2285  0.7153  0.9868
Ho  0.2287  0.7154  0.4573
Ho  0.2573  0.2719  0.5146
Ho  0.7582  0.7153  0.9868
Ho  0.2418  0.2847  0.0132
Ho  0.7427  0.7281  0.4854
Ho  0.7713  0.2846  0.5427
Ho  0.7715  0.2847  0.0132
P  0.5000  0.5000  0.0000
P  0.5000  0.5000  0.5000
P  0.0000  0.5000  0.5000
Se  0.5000  0.0000  0.0000
Se  0.5000  0.0000  0.5000
Se  0.0000  0.0000  0.0000
Se  0.0000  0.0000  0.5000
N  0.0000  0.5000  0.0000